(1)
Entry from Alexandria: a geometry-optimized Pr4TlZn2Cu structure (PBE).

extended XYZ file:
```
8
Lattice="2.653 1.532 8.686 -2.653 1.532 8.686 0.000 -3.063 8.686" Properties=species:S:1:pos:R:3 pbc="T T T"
Pr 0.000 0.000 3.079
Pr 0.000 0.000 9.603
Pr 0.000 0.000 16.454
Pr 0.000 0.000 22.978
Tl 0.000 0.000 13.028
Zn 0.000 0.000 6.423
Zn 0.000 0.000 19.634
Cu 0.000 0.000 0.000
```

Properties
V = 26.47 A^3/atom
energy of formation = -0.258 eV per atom
symmetry = R-3m (166)
D(E_F) = 9.739 states/eV per cell

(2)
Entry from Alexandria: a geometry-optimized PrTmCu structure (PBE).

extended XYZ file:
```
3
Lattice="-1.761 1.761 6.255 1.761 -1.761 6.255 1.761 1.761 -6.255" Properties=species:S:1:pos:R:3 pbc="T T T"
Pr 0.000 0.000 0.000
Tm 0.000 0.000 3.479
Cu 0.000 0.000 8.279
```

Properties
V = 25.86 A^3/atom
energy of formation = -0.116 eV per atom
relative energy among the computed polymorphs = 0.013 eV/atom
symmetry = I4mm (107)
D(E_F) = 2.716 states/eV per cell